14
Lattice="7.623 0.000 0.006 0.000 8.085 0.000 -2.985 0.000 9.153" Properties=species:S:1:pos:R:3 comment="KLiPuI4 PBE optimized geometry" vol_a3_per_atom=40.3 n_ef_per_ev_cell=39.48 formation_energy_uncorrected_kj_per_mol_atoms=-111.4 e_tot_ev_per_cell=-63.26 total_magnetization_mub_per_atom=0.86 pbc="T T T"
I -2.064 8.051 6.615
I 2.874 2.021 3.675
I 2.998 6.064 1.322
I -2.064 4.076 6.615
I 6.702 0.034 2.545
I 1.639 2.021 7.838
I 1.763 6.064 5.485
I 6.702 4.009 2.545
Li 3.766 2.021 6.197
Li 0.872 6.064 2.962
K 1.637 2.021 0.486
K 3.000 6.064 8.674
Pu -0.043 2.021 5.036
Pu 4.680 6.064 4.124